Rb2CuWF6: optimized geometry, PBE with a Hubbard U.

The structure in POSCAR format:
```
Rb2CuWF6
1.0
-3.039 3.039 4.604
3.039 -3.039 4.604
3.039 3.039 -4.604
Rb Cu W F
2 1 1 6
Cartesian
3.039 0.000 2.302
0.000 3.039 2.302
0.000 0.000 0.000
0.000 0.000 4.604
1.537 1.537 0.000
1.502 -1.502 4.604
0.000 0.000 2.489
0.000 0.000 6.719
-1.502 1.502 4.604
1.502 1.502 4.604
```

## Properties
For the electronic total energy, the calculation gives -47.981 eV for the cell shown. The space group is I4/mmm (139). Its magnetization is 3.000 μB per formula unit.